Density functional theory data (PBE) for a relaxed TiCr2B2 crystal.

Unit cell a=5.739 b=5.739 c=2.952 alpha=90.00 beta=90.00 gamma=90.00
Fractional positions:
Ti 0.000 0.000 0.000
Ti 0.500 0.500 0.000
Cr 0.174 0.326 0.500
Cr 0.326 0.826 0.500
Cr 0.674 0.174 0.500
Cr 0.826 0.674 0.500
B 0.110 0.610 0.000
B 0.390 0.110 0.000
B 0.610 0.890 0.000
B 0.890 0.390 0.000

Calculated values
magnetization	0.00	μB per cell
formation energy	-2.6	eV/f.u.